Material: Ta2TiRuS
Method: DFT, GGA-PBE
State: relaxed

Unit cell a=4.819 b=4.819 c=4.359 alpha=90.00 beta=90.00 gamma=90.00
Space group P4/mmm (No. 123)
Symmetry-distinct sites (fractional):
Ta  0.000  0.500  0.000 x2
Ti  0.000  0.000  0.000 x1
Ru  0.000  0.000  0.500 x1
S  0.500  0.500  0.500 x1

Total magnetic moment ... 0.00 μB per cell
Volume ... 20.25 Å³/atom
Crystal system ... tetragonal
Raw formation energy ... 1491 meV/atom
DOS(E_F) ... 3.4 states/eV/cell